Entry from Alexandria: a relaxed structure of KCoPbO4 (PBE+U).

a b c (Å): 5.8063 5.9119 7.4861
angles (deg): 90.00 110.54 90.00
Last column: nearest neighbours and their distance in Å.
Sites, in units of the cell vectors:
Pb  0.8142  0.7500  0.4595  6 O 2.25-2.31
O  0.4978  0.2500  0.4251  1 Co 1.78
O  0.0305  0.5235  0.3220  1 Co 1.93
O  0.5339  0.2500  0.8076  1 Co 1.81
Co  0.7227  0.2500  0.6592  4 O 1.78-1.93
O  0.9695  0.0235  0.6780  1 Co 1.93
K  0.2983  0.2500  0.0569  2 O 2.59-2.67
O  0.5022  0.7500  0.5749  1 Co 1.78
Co  0.2773  0.7500  0.3408  4 O 1.78-1.93
Pb  0.1858  0.2500  0.5405  6 O 2.25-2.31
O  0.0305  0.9765  0.3220  1 Co 1.93
O  0.4661  0.7500  0.1924  1 Co 1.81
O  0.9695  0.4765  0.6780  1 Co 1.93
K  0.7017  0.7500  0.9431  2 O 2.59-2.67

Magnetization   4.0 μB per formula unit
Total energy   -73.4 eV per cell

=====

Entry from Alexandria: a relaxed structure of K3CoPd2O6 (PBE+U).

a b c (Å): 5.6691 5.6691 6.0813
angles (deg): 97.95 97.95 122.53
Last column: nearest neighbours and their distance in Å.
Sites, in units of the cell vectors:
K  0.1716  0.8284  0.5000  6 O 2.64-2.77
K  0.5000  0.5000  0.5000  6 O 2.64-2.67
O  0.6263  0.9324  0.8335  1 Co 2.02, 1 Pd 2.06
O  0.0676  0.3737  0.1665  1 Co 2.02, 1 Pd 2.06
O  0.2493  0.2493  0.8182  1 Co 1.98, 2 Pd 2.20
Pd  0.3376  0.6624  0.0000  6 O 2.06-2.27
K  0.8284  0.1716  0.5000  6 O 2.64-2.77
Pd  0.6624  0.3376  0.0000  6 O 2.06-2.27
O  0.9324  0.6263  0.8335  1 Co 2.02, 1 Pd 2.06
O  0.3737  0.0676  0.1665  1 Co 2.02, 1 Pd 2.06
Co  0.0000  0.0000  0.0000  6 O 1.98-2.02
O  0.7507  0.7507  0.1818  1 Co 1.98, 2 Pd 2.20

Magnetization   2.0 μB per formula unit
Total energy   -58.6 eV per cell

=====

Entry from Alexandria: a relaxed structure of K2CoPdO4 (PBE+U).

a b c (Å): 5.7455 7.2712 9.7969
angles (deg): 83.35 72.95 66.73
Last column: nearest neighbours and their distance in Å.
Sites, in units of the cell vectors:
O  0.5659  0.3129  0.5030  1 Co 1.79
O  0.9311  0.6871  0.5030  1 Co 1.79
O  0.3818  0.6871  0.4970  1 Co 1.79
O  0.6288  0.1871  0.0030  1 Co 1.79
Co  0.5000  0.0000  0.0000  4 O 1.79
O  0.3682  0.8129  0.0030  1 Co 1.79
K  0.1725  0.0000  0.6549  2 O 2.56
K  0.8275  0.0000  0.3451  2 O 2.56
Pd  0.7500  0.5000  0.5000  4 O 2.02
K  0.5775  0.5000  0.8451  2 O 2.56
K  0.9225  0.5000  0.1549  2 O 2.56
O  0.8189  0.8129  0.9970  1 Co 1.79
O  0.1841  0.1871  0.9970  1 Co 1.79
Pd  0.0000  0.0000  0.0000  4 O 2.02
O  0.1212  0.3129  0.4970  1 Co 1.79
Co  0.2500  0.5000  0.5000  4 O 1.79

Magnetization   3.0 μB per formula unit
Total energy   -79.9 eV per cell

=====

Entry from Alexandria: a relaxed structure of KPm2CoO5 (PBE+U).

a b c (Å): 5.6457 6.7455 6.7455
angles (deg): 90.00 90.00 90.00
Last column: nearest neighbours and their distance in Å.
Sites, in units of the cell vectors:
O  0.2396  0.1311  0.6311  1 Co 1.84
O  0.2396  0.3689  0.1311  1 Co 1.84
O  0.7604  0.6311  0.8689  1 Co 1.84
O  0.7604  0.1311  0.6311  1 Co 1.84
O  0.5000  0.5000  0.5000  4 Pm 2.48
O  0.2396  0.6311  0.8689  1 Co 1.84
Pm  0.5000  0.1779  0.3221  8 O 2.34-2.57
O  0.2396  0.8689  0.3689  1 Co 1.84
K  0.0000  0.0000  0.0000  10 O 2.82-2.97
O  0.7604  0.3689  0.1311  1 Co 1.84
Pm  0.5000  0.6779  0.1779  8 O 2.34-2.57
Pm  0.5000  0.3221  0.8221  8 O 2.34-2.57
Pm  0.5000  0.8221  0.6779  8 O 2.34-2.57
Co  0.0000  0.0000  0.5000  4 O 1.84
Co  0.0000  0.5000  0.0000  4 O 1.84
O  0.5000  0.0000  0.0000  4 Pm 2.48
K  0.0000  0.5000  0.5000  10 O 2.82-2.97
O  0.7604  0.8689  0.3689  1 Co 1.84

Magnetization   2.0 μB per formula unit
Total energy   -124.0 eV per cell

=====

Question: Number 2 is which compound?
Answer: K3CoPd2O6